No. 1
# ReBiSb2Se

ReBiSb2Se after structural relaxation (PBE, Alexandria via LeMat-Bulk).

The space group is P4/mmm (No. 123) and the conventional cell measures 5.8008, 5.8008 and 5.3705 Å, with angles of 90.00, 90.00 and 90.00 degrees. Symmetry generates all atoms from Re at (0.0000, 0.0000, 0.0000), Bi at (0.5000, 0.5000, 0.5000), Sb at (0.0000, 0.5000, 0.5000) and Se at (0.5000, 0.5000, 0.0000).

As for the raw formation energy: 1841.7 meV/atom. As for the density of states at the Fermi level: 4.0 states/eV per cell. The calculation puts the volume at 180.7 Å³ per cell. As for the total magnetization: 3.5 Bohr magnetons per cell.



No. 2
# V2ReBiSb

V2ReBiSb after structural relaxation (PBE, Alexandria via LeMat-Bulk).

The space group is P4/mmm (No. 123) and the conventional cell measures 4.8692, 4.8692 and 5.6717 Å, with angles of 90.00, 90.00 and 90.00 degrees. Symmetry generates all atoms from V at (0.0000, 0.5000, 0.0000), Re at (0.0000, 0.0000, 0.5000), Bi at (0.5000, 0.5000, 0.5000) and Sb at (0.5000, 0.5000, 0.0000).

As for the raw formation energy: 2151.4 meV/atom. As for the density of states at the Fermi level: 5.7 states/eV per cell. The calculation puts the volume at 134.5 Å³ per cell. As for the total magnetization: 6.8 Bohr magnetons per cell.



No. 3
# YReBi2Sb

YReBi2Sb after structural relaxation (PBE, Alexandria via LeMat-Bulk).

The space group is P4/mmm (No. 123) and the conventional cell measures 5.7580, 5.7580 and 4.8902 Å, with angles of 90.00, 90.00 and 90.00 degrees. Symmetry generates all atoms from Y at (0.0000, 0.0000, 0.0000), Re at (0.5000, 0.5000, 0.0000), Bi at (0.0000, 0.5000, 0.5000) and Sb at (0.5000, 0.5000, 0.5000).

As for the raw formation energy: 1043.1 meV/atom. As for the density of states at the Fermi level: 3.7 states/eV per cell. The calculation puts the volume at 162.1 Å³ per cell. As for the total magnetization: 0.0 Bohr magnetons per cell.



No. 4
# ScRe2Bi

ScRe2Bi after structural relaxation (PBE, Alexandria via LeMat-Bulk).

The space group is I-42d (No. 122) and the conventional cell measures 4.0771, 4.0771 and 20.3968 Å, with angles of 90.00, 90.00 and 90.00 degrees. Symmetry generates all atoms from Sc at (0.0000, 0.0000, 0.0000), Re at (0.1701, 0.2500, 0.1250) and Bi at (0.0000, 0.0000, 0.5000).

As for the density of states at the Fermi level: 10.3 states/eV per cell. The calculation puts the volume at 339.1 Å³ per cell. As for the total magnetization: 0.0 Bohr magnetons per cell.



No. 5
# ScReBi3

ScReBi3 after structural relaxation (PBE, Alexandria via LeMat-Bulk).

The space group is Pm-3m (No. 221) and the conventional cell measures 5.5222, 5.5222 and 5.5222 Å, with angles of 90.00, 90.00 and 90.00 degrees. Symmetry generates all atoms from Sc at (0.0000, 0.0000, 0.0000), Re at (0.5000, 0.5000, 0.5000) and Bi at (0.0000, 0.0000, 0.5000).

For the energy above the most stable polymorph in this dataset, the calculation gives 11.59 kcal/mol of atoms. As for the density of states at the Fermi level: 3.4 states/eV per cell. The calculation puts the volume at 168.4 Å³ per cell. As for the total magnetization: 4.3 Bohr magnetons per cell.



No. 6
# ScReBi2

ScReBi2 after structural relaxation (PBE, Alexandria via LeMat-Bulk).

The space group is Fm-3m (No. 225) and the conventional cell measures 7.0216, 7.0216 and 7.0216 Å, with angles of 90.00, 90.00 and 90.00 degrees. Symmetry generates all atoms from Sc at (0.0000, 0.0000, 0.0000), Re at (0.0000, 0.0000, 0.5000) and Bi at (0.2500, 0.2500, 0.2500).

For the energy above the most stable polymorph in this dataset, the calculation gives 0.00 kcal/mol of atoms. As for the density of states at the Fermi level: 9.2 states/eV per cell. The calculation puts the volume at 346.2 Å³ per cell. As for the total magnetization: 0.0 Bohr magnetons per cell.



No. 7
# ScRe3Bi

ScRe3Bi after structural relaxation (PBE, Alexandria via LeMat-Bulk).

The space group is Pm-3m (No. 221) and the conventional cell measures 4.7454, 4.7454 and 4.7454 Å, with angles of 90.00, 90.00 and 90.00 degrees. Symmetry generates all atoms from Sc at (0.0000, 0.0000, 0.0000), Re at (0.0000, 0.0000, 0.5000) and Bi at (0.5000, 0.5000, 0.5000).

For the energy above the most stable polymorph in this dataset, the calculation gives 0.00 kcal/mol of atoms. As for the density of states at the Fermi level: 5.4 states/eV per cell. The calculation puts the volume at 106.9 Å³ per cell. As for the total magnetization: 2.6 Bohr magnetons per cell.



No. 8
# ScReBi3

ScReBi3 after structural relaxation (PBE, Alexandria via LeMat-Bulk).

The space group is Pm-3m (No. 221) and the conventional cell measures 5.3603, 5.3603 and 5.3603 Å, with angles of 90.00, 90.00 and 90.00 degrees. Symmetry generates all atoms from Sc at (0.0000, 0.0000, 0.0000), Re at (0.5000, 0.5000, 0.5000) and Bi at (0.0000, 0.5000, 0.5000).

For the energy above the most stable polymorph in this dataset, the calculation gives 0.00 kcal/mol of atoms. As for the density of states at the Fermi level: 7.8 states/eV per cell. The calculation puts the volume at 154.0 Å³ per cell. As for the total magnetization: 0.1 Bohr magnetons per cell.



No. 9
# ScRe3Bi

ScRe3Bi after structural relaxation (PBE, Alexandria via LeMat-Bulk).

The space group is Pm-3m (No. 221) and the conventional cell measures 4.9547, 4.9547 and 4.9547 Å, with angles of 90.00, 90.00 and 90.00 degrees. Symmetry generates all atoms from Sc at (0.0000, 0.0000, 0.0000), Re at (0.0000, 0.5000, 0.5000) and Bi at (0.5000, 0.5000, 0.5000).

For the energy above the most stable polymorph in this dataset, the calculation gives 6.46 kcal/mol of atoms. As for the density of states at the Fermi level: 4.0 states/eV per cell. The calculation puts the volume at 121.6 Å³ per cell. As for the total magnetization: 2.2 Bohr magnetons per cell.



No. 10
# ScReBi2

ScReBi2 after structural relaxation (PBE, Alexandria via LeMat-Bulk).

The space group is I-42d (No. 122) and the conventional cell measures 4.4215, 4.4215 and 20.1915 Å, with angles of 90.00, 90.00 and 90.00 degrees. Symmetry generates all atoms from Sc at (0.0000, 0.0000, 0.0000), Re at (0.0000, 0.0000, 0.5000) and Bi at (0.2403, 0.2500, 0.6250).

For the energy above the most stable polymorph in this dataset, the calculation gives 8.15 kcal/mol of atoms. As for the density of states at the Fermi level: 10.6 states/eV per cell. The calculation puts the volume at 394.7 Å³ per cell. As for the total magnetization: 0.8 Bohr magnetons per cell.



No. 11
# Sc3ReBi

Sc3ReBi after structural relaxation (PBE, Alexandria via LeMat-Bulk).

The space group is Pm-3m (No. 221) and the conventional cell measures 5.0642, 5.0642 and 5.0642 Å, with angles of 90.00, 90.00 and 90.00 degrees. Symmetry generates all atoms from Sc at (0.0000, 0.0000, 0.5000), Re at (0.0000, 0.0000, 0.0000) and Bi at (0.5000, 0.5000, 0.5000).

For the energy above the most stable polymorph in this dataset, the calculation gives 0.00 kcal/mol of atoms. As for the density of states at the Fermi level: 5.4 states/eV per cell. The calculation puts the volume at 129.9 Å³ per cell. As for the total magnetization: 0.0 Bohr magnetons per cell.



No. 12
# ScRe2SiBi

ScRe2SiBi after structural relaxation (PBE, Alexandria via LeMat-Bulk).

The space group is P4/mmm (No. 123) and the conventional cell measures 4.8459, 4.8459 and 4.8008 Å, with angles of 90.00, 90.00 and 90.00 degrees. Symmetry generates all atoms from Sc at (0.0000, 0.0000, 0.0000), Re at (0.0000, 0.5000, 0.0000), Si at (0.0000, 0.0000, 0.5000) and Bi at (0.5000, 0.5000, 0.5000).

As for the raw formation energy: 1868.4 meV/atom. As for the density of states at the Fermi level: 5.4 states/eV per cell. The calculation puts the volume at 112.7 Å³ per cell. As for the total magnetization: 2.7 Bohr magnetons per cell.



no.,total energy (eV per atom)
1,-3.770
2,-5.586
3,-5.116
4,-8.104
5,-4.759
6,-6.333
7,-7.233
8,-5.262
9,-6.952
10,-5.980
11,-6.986
12,-6.238